Below is a geometry-optimized LiSi2As structure, with properties calculated at the PBE level.

POSCAR file:
```
LiSi2As
1.0
2.788 0.000 0.000
0.000 3.930 0.000
0.000 0.000 6.300
Li Si As
1 2 1
Direct
0.000 0.000 0.000 Li
0.000 0.000 0.436 Si
0.500 0.500 0.259 Si
0.500 0.500 0.869 As
```

Output
- formation energy without anion corrections (eV per atom) = 0.13
- raw total energy (eV per atom) = -4.220
- space-group type = Pmm2 (25)
- calculated volume (Å³/cell) = 69.0